# TiReAs2Br

A relaxed TiReAs2Br crystal (PBE-GGA, Alexandria via LeMat-Bulk).

Summary:
The calculation puts the formation energy without anion corrections at 0.7237 eV/atom. As for the space group: No. 123. The calculated total energy comes out at -5.5393 eV per atom.

a b c (Å): 4.7441 4.7441 5.4354
angles (deg): 90.00 90.00 90.00
Last column: nearest neighbours and their distance in Å.
Fractional coordinates of all 5 atoms:
1 Ti 0.0000 0.0000 0.0000  4 Br 3.35, 8 As 3.61
2 Re 0.5000 0.5000 0.5000  4 As 2.37
3 As 0.0000 0.5000 0.5000  2 Re 2.37
4 As 0.5000 0.0000 0.5000  2 Re 2.37
5 Br 0.5000 0.5000 0.0000  2 Re 2.72